Entry 1:
Sc2AgRh | Alexandria | PBE | relaxed; D(E_F) = 0.66 states/eV per atom; crystal system = monoclinic; density = 6.6 g/cm3; uncorrected energy = -0.2276 Ha/atom; SG = Cm
1.0
-0.610 -3.943 3.496
0.281 -5.243 0.756
4.471 -0.615 1.745
Ag Rh Sc
1 1 2
direct
0.512 0.512 0.542
0.249 0.249 0.184
0.978 0.978 0.075
0.760 0.760 0.699



Entry 2:
TlCuOs2 | Alexandria | PBE | relaxed; D(E_F) = 0.63 states/eV per atom; crystal system = monoclinic; excess energy over the best structure of this formula in the dataset = 0.272 eV/f.u.; density = 16.2 g/cm3; uncorrected energy = -0.2447 Ha/atom; SG = Pm
1.0
-1.907 -2.926 0.870
-0.414 -0.545 -2.741
5.042 -4.141 -2.876
Cu Os Tl
1 2 1
direct
0.500 0.717 0.785
0.000 0.993 0.007
0.500 0.304 0.193
0.000 0.486 0.514



Entry 3:
Ce2Ge3Os | Alexandria | PBE | relaxed; D(E_F) = 0.93 states/eV per atom; crystal system = orthorhombic; excess energy over the best structure of this formula in the dataset = 0.000 eV/f.u.; density = 9.0 g/cm3; uncorrected energy = -0.2469 Ha/atom; SG = Pmm2
1.0
3.931 0.000 0.000
0.000 4.434 0.000
0.000 0.000 7.314
Ce Ge Os
2 3 1
direct
0.000 0.500 0.019
0.000 0.000 0.491
0.500 0.000 0.830
0.500 0.000 0.171
0.500 0.500 0.664
0.500 0.500 0.325



What did the third record say?
Ce2Ge3Os | Alexandria | PBE | relaxed; D(E_F) = 0.93 states/eV per atom; crystal system = orthorhombic; excess energy over the best structure of this formula in the dataset = 0.000 eV/f.u.; density = 9.0 g/cm3; uncorrected energy = -0.2469 Ha/atom; SG = Pmm2
1.0
3.931 0.000 0.000
0.000 4.434 0.000
0.000 0.000 7.314
Ce Ge Os
2 3 1
direct
0.000 0.500 0.019
0.000 0.000 0.491
0.500 0.000 0.830
0.500 0.000 0.171
0.500 0.500 0.664
0.500 0.500 0.325